[1]
VASP calculation (GGA-PBE) on a relaxed structure of NiAsP2.

Values from the calculation:
- SG = P4mm
- DFT formation energy (meV/atom) = 164

Unit cell a=3.1757 b=3.1757 c=6.4126 alpha=90.00 beta=90.00 gamma=90.00
Closest atoms and distances in Å follow each position.
Element x y z (fractional)
As1 0.0000 0.0000 0.5958  4 Ni 2.53, 1 P 2.55
P1 0.5000 0.5000 0.1350  1 Ni 2.30, 4 P 2.42
P2 0.0000 0.0000 0.9931  4 P 2.42, 1 As 2.55, 4 Ni 2.64
Ni1 0.5000 0.5000 0.7761  1 P 2.30, 4 As 2.53

---

[2]
VASP calculation (GGA-PBE) on a relaxed structure of Tl2IrOs.

Values from the calculation:
- SG = Cmmm
- DFT formation energy (meV/atom) = 972
- distance to the lowest polymorph of the same formula (eV/f.u.) = 1.83

Unit cell a=3.0609 b=3.0609 c=9.2439 alpha=90.00 beta=90.00 gamma=119.13
Closest atoms and distances in Å follow each position.
Element x y z (fractional)
Tl1 0.0000 0.0000 0.0004  2 Ir 2.78, 2 Os 2.79, 6 Tl 3.06-3.10
Tl2 0.0000 0.0000 0.4996  2 Ir 2.78, 2 Os 2.79, 6 Tl 3.06-3.10
Ir1 0.5000 0.5000 0.2500  4 Tl 2.78, 6 Ir 3.06-3.10
Os1 0.5000 0.5000 0.7500  4 Tl 2.79, 6 Os 3.06-3.10

---

[3]
VASP calculation (GGA-PBE) on a relaxed structure of Ti3VAs.

Values from the calculation:
- SG = Pm-3m
- DFT formation energy (meV/atom) = 577
- distance to the lowest polymorph of the same formula (eV/f.u.) = 0.91

Unit cell a=4.5260 b=4.5260 c=4.5260 alpha=90.00 beta=90.00 gamma=90.00
Closest atoms and distances in Å follow each position.
Element x y z (fractional)
Ti1 0.0000 0.0000 0.5000  2 V 2.26
Ti2 0.0000 0.5000 0.0000  2 V 2.26
V1 0.0000 0.0000 0.0000  6 Ti 2.26
Ti3 0.5000 0.0000 0.0000  2 V 2.26
As1 0.5000 0.5000 0.5000  12 Ti 3.20

---

[4]
VASP calculation (GGA-PBE) on a relaxed structure of PrH8Pt2.

Values from the calculation:
- SG = I4/mmm

Unit cell a=4.5883 b=4.5883 c=5.9318 alpha=112.75 beta=112.75 gamma=90.00
Closest atoms and distances in Å follow each position.
Element x y z (fractional)
H1 0.6156 0.6156 0.6826  1 H 1.84, 2 Pt 1.87
H2 0.9329 0.3844 0.3174  1 H 1.84, 2 Pt 1.87
H3 0.6156 0.0671 0.6826  1 H 1.84, 2 Pt 1.87
H4 0.3844 0.3844 0.3174  1 H 1.84, 2 Pt 1.87
Pr1 0.5000 0.5000 0.0000  8 H 2.38
H5 0.0671 0.6156 0.6826  1 H 1.84, 2 Pt 1.87
H6 0.0671 0.0671 0.6826  1 H 1.84, 2 Pt 1.87
H7 0.9329 0.9329 0.3174  1 H 1.84, 2 Pt 1.87
H8 0.3844 0.9329 0.3174  1 H 1.84, 2 Pt 1.87
Pt1 0.2500 0.7500 0.5000  8 H 1.87
Pt2 0.7500 0.2500 0.5000  8 H 1.87

---

[5]
VASP calculation (GGA-PBE) on a relaxed structure of KTmBeO3.

Values from the calculation:
- uncorrected formation energy (meV per atom) = -2722.0
- SG = P2_1/m

Unit cell a=3.3159 b=7.5651 c=7.4927 alpha=107.33 beta=90.00 gamma=90.00
Closest atoms and distances in Å follow each position.
Element x y z (fractional)
K1 0.7500 0.8071 0.7798  7 O 2.79-3.00
O1 0.2500 0.1351 0.8225  1 Be 1.56
Be1 0.2500 0.0661 0.6042  2 O 1.56-1.59
Be2 0.7500 0.9339 0.3958  2 O 1.56-1.59
Tm1 0.2500 0.6598 0.1623  6 O 2.21-2.33
O2 0.2500 0.8605 0.4655  1 Be 1.59
Tm2 0.7500 0.3402 0.8377  6 O 2.21-2.33
O3 0.7500 0.1395 0.5345  1 Be 1.59
O4 0.7500 0.4597 0.1458  3 Tm 2.21-2.22
O5 0.2500 0.5403 0.8542  3 Tm 2.21-2.22
O6 0.7500 0.8649 0.1775  1 Be 1.56
K2 0.2500 0.1929 0.2202  7 O 2.79-3.00

---

[6]
VASP calculation (GGA-PBE) on a relaxed structure of BeAl2Os.

Values from the calculation:
- SG = Cmm2
- DFT formation energy (meV/atom) = 144

Unit cell a=2.7434 b=2.7434 c=7.9786 alpha=90.00 beta=90.00 gamma=111.66
Closest atoms and distances in Å follow each position.
Element x y z (fractional)
Os1 0.5000 0.5000 0.7289  2 Be 2.28, 2 Al 2.53
Be1 0.0000 0.0000 0.5182  2 Os 2.28, 2 Al 2.50
Al1 0.5000 0.5000 0.2719  2 Be 2.50, 6 Al 2.74-2.79
Al2 0.0000 0.0000 0.9810  2 Os 2.53, 6 Al 2.74-2.79

---

[7]
VASP calculation (GGA-PBE) on a relaxed structure of GaI2NO.

Values from the calculation:
- uncorrected formation energy (meV per atom) = 626.3
- SG = P4/mmm
- distance to the lowest polymorph of the same formula (eV/f.u.) = 0.00

Unit cell a=6.1561 b=6.1561 c=3.4569 alpha=90.00 beta=90.00 gamma=90.00
Closest atoms and distances in Å follow each position.
Element x y z (fractional)
I1 0.5000 0.0000 0.0000  2 Ga 3.08
O1 0.0000 0.0000 0.5000  2 Ga 1.73
Ga1 0.0000 0.0000 0.0000  2 O 1.73
I2 0.0000 0.5000 0.0000  2 Ga 3.08
N1 0.5000 0.5000 0.5000  2 N 3.46, 8 I 3.53

---

[8]
VASP calculation (GGA-PBE) on a relaxed structure of TcBr2Cl.

Values from the calculation:
- uncorrected formation energy (meV per atom) = 563.3
- SG = C2/m
- distance to the lowest polymorph of the same formula (eV/f.u.) = 3.59

Unit cell a=5.3851 b=6.1050 c=4.0644 alpha=81.52 beta=65.13 gamma=107.52
Closest atoms and distances in Å follow each position.
Element x y z (fractional)
Br1 0.5000 0.0000 0.5000  2 Br 2.60
Tc1 0.5000 0.5000 0.0000  2 Cl 2.60
Br2 0.0000 0.0000 0.0000  2 Br 2.60
Cl1 0.0000 0.5000 0.5000  2 Tc 2.60

---

| no. | VASP energy (eV/cell) |
| --- | --- |
| 1 | -20.594 |
| 2 | -20.936 |
| 3 | -34.570 |
| 4 | -44.316 |
| 5 | -81.004 |
| 6 | -21.864 |
| 7 | -16.279 |
| 8 | -13.305 |